1.
A plane-wave DFT calculation with GGA-PBE was carried out for a relaxed structure of CaZr2Pb.

Properties
Space-group type: P4mm (99)
N(E_F) (states/eV per cell): 3.68
Final energy (eV/atom): -5.745
Crystal system: tetragonal
DFT formation energy (meV/atom): -43

Lattice parameters (Å, degrees): 3.769 3.769 7.544 90.00 90.00 90.00
Element x y z (fractional)
1 Pb 0.500 0.500 0.782
2 Ca 0.000 0.000 0.513
3 Zr 0.500 0.500 0.204
4 Zr 0.000 0.000 0.001

2.
A plane-wave DFT calculation with GGA-PBE was carried out for a relaxed structure of Mg2Cu3Se2.

Properties
Space-group type: Cmmm (65)
Energy above the lowest structure with this stoichiometry (meV per atom): 0
N(E_F) (states/eV per cell): 0.26
Final energy (eV/atom): -3.574
Crystal system: orthorhombic
Formation energy from raw total energies (eV per atom): -0.368

Lattice parameters (Å, degrees): 11.023 11.023 3.567 90.00 90.00 161.37
Element x y z (fractional)
1 Mg 0.129 0.871 0.000
2 Mg 0.871 0.129 0.000
3 Se 0.337 0.663 0.500
4 Se 0.663 0.337 0.500
5 Cu 0.448 0.552 0.500
6 Cu 0.000 0.000 0.000
7 Cu 0.552 0.448 0.500

3.
A plane-wave DFT calculation with GGA-PBE was carried out for a relaxed structure of SrTaSe4.

Properties
Space-group type: F-43m (216)
N(E_F) (states/eV per cell): 5.66
Final energy (eV/atom): -4.081
Crystal system: cubic
Formation energy from raw total energies (eV per atom): 0.498

Lattice parameters (Å, degrees): 5.868 5.868 5.868 60.00 60.00 60.00
Each line ends with the local moment (μB).
Element x y z (fractional)
1 Se 0.879 0.374 0.374  -0.01
2 Se 0.374 0.879 0.374  -0.01
3 Se 0.374 0.374 0.879  -0.01
4 Se 0.374 0.374 0.374  -0.01
5 Ta 0.000 0.000 0.000  2.04
6 Sr 0.750 0.750 0.750  0.11

4.
A plane-wave DFT calculation with GGA-PBE was carried out for a relaxed structure of Tb3Pm2Ho6.

Properties
Space-group type: C2/m (12)
Energy above the lowest structure with this stoichiometry (meV per atom): 0
N(E_F) (states/eV per cell): 18.13
Final energy (eV/atom): -4.437
Crystal system: monoclinic
DFT formation energy (meV/atom): 186

Lattice parameters (Å, degrees): 6.102 6.110 11.661 84.94 79.83 60.04
Element x y z (fractional)
1 Ho 0.416 0.667 0.752
2 Ho 0.250 0.000 0.248
3 Ho 0.917 0.667 0.248
4 Ho 0.083 0.333 0.752
5 Ho 0.750 0.000 0.752
6 Ho 0.584 0.333 0.248
7 Tb 0.665 0.670 0.000
8 Tb 0.335 0.330 0.000
9 Tb 0.000 0.000 0.000
10 Pm 0.833 0.333 0.500
11 Pm 0.167 0.667 0.500

5.
A plane-wave DFT calculation with GGA-PBE was carried out for a relaxed structure of GeSb2TePb.

Properties
Space-group type: P4/mmm (123)
Energy above the lowest structure with this stoichiometry (meV per atom): 0
N(E_F) (states/eV per cell): 5.81
Final energy (eV/atom): -3.412
Crystal system: tetragonal
Formation energy from raw total energies (eV per atom): 0.530

Lattice parameters (Å, degrees): 5.728 5.728 5.852 90.00 90.00 90.00
Element x y z (fractional)
1 Ge 0.000 0.000 0.000
2 Sb 0.000 0.500 0.000
3 Sb 0.500 0.000 0.000
4 Pb 0.500 0.500 0.500
5 Te 0.000 0.000 0.500

6.
A plane-wave DFT calculation with GGA-PBE was carried out for a relaxed structure of SrLiSe2F.

Properties
Space-group type: P4/mmm (123)
N(E_F) (states/eV per cell): 1.06
Final energy (eV/atom): -3.674
Crystal system: tetragonal
Formation energy from raw total energies (eV per atom): -1.186

Lattice parameters (Å, degrees): 4.379 5.988 4.379 90.00 90.00 90.00
Element x y z (fractional)
1 Li 0.000 0.000 0.000
2 Sr 0.000 0.500 0.000
3 Se 0.000 0.000 0.500
4 Se 0.500 0.000 0.000
5 F 0.500 0.500 0.500

no.,spin magnetization (μB/f.u.)
1,0.00
2,0.00
3,3.55
4,0.00
5,0.00
6,0.00